# 1
The following is a DFT calculation (PBE-GGA) of a geometry-optimized Si2PIr2 structure.

```
10
Lattice="7.2636 0.0000 0.0000 0.0000 7.2636 0.0000 0.0000 0.0000 2.7395" Properties=species:S:1:pos:R:3 pbc="T T T"
Si 1.1082 2.5236 0.0000
Si 2.5236 6.1554 0.0000
Si 4.7400 1.1082 0.0000
Si 6.1554 4.7400 0.0000
P 0.0000 0.0000 0.0000
P 3.6318 3.6318 0.0000
Ir 1.0184 4.6502 1.3698
Ir 2.6135 1.0184 1.3698
Ir 4.6502 6.2453 1.3698
Ir 6.2453 2.6135 1.3698
```

Density in g cm⁻³: 10.835
Calculated total energy in eV/atom: -6.8340
ΔE to the lowest computed polymorph in kJ per mole of atoms: 6.3
Crystal system: tetragonal
Formation energy (no corrections) in eV/atom: -0.0384

=====

# 2
The following is a DFT calculation (PBE-GGA) of a geometry-optimized RbSbP structure.

```
6
Lattice="7.0264 0.0000 0.0000 0.0000 3.8541 0.0000 -1.5869 0.0000 8.0735" Properties=species:S:1:pos:R:3 pbc="T T T"
Rb 0.0000 0.0000 0.0000
Rb 1.1802 1.9270 4.1547
Sb 1.9332 0.0000 7.4090
Sb 4.6279 0.0000 3.8225
P 3.0206 1.9270 1.0027
P 4.9598 1.9270 2.1186
```

Density in g cm⁻³: 3.618
Calculated total energy in eV/atom: -3.7553
ΔE to the lowest computed polymorph in kJ per mole of atoms: 2.7
Crystal system: monoclinic
Formation energy (no corrections) in eV/atom: -0.2553

=====

# 3
The following is a DFT calculation (PBE-GGA) of a geometry-optimized Ti3AuC structure.

```
5
Lattice="4.8419 0.0000 0.0000 0.0000 4.8419 0.0000 0.0000 0.0000 4.8419" Properties=species:S:1:pos:R:3 pbc="T T T"
Ti 0.0000 0.0000 2.4210
Ti 0.0000 2.4210 0.0000
Ti 2.4210 0.0000 0.0000
Au 0.0000 0.0000 0.0000
C 2.4210 2.4210 2.4210
```

Density in g cm⁻³: 5.158
Calculated total energy in eV/atom: -5.3515
ΔE to the lowest computed polymorph in kJ per mole of atoms: 241.9
Crystal system: cubic
Calculated formation energy in eV per atom: 1.886

=====

# 4
The following is a DFT calculation (PBE-GGA) of a geometry-optimized Mn2NiHg structure.

```
4
Lattice="1.4715 0.8496 8.4264 -1.4715 0.8496 8.4264 0.0000 -1.6991 8.4264" Properties=species:S:1:pos:R:3 pbc="T T T"
Mn 0.0000 0.0000 6.0464
Mn 0.0000 0.0000 19.2329
Ni 0.0000 0.0000 12.6397
Hg 0.0000 0.0000 0.0000
```

Density in g cm⁻³: 9.699
Calculated total energy in eV/atom: -5.7808
Crystal system: trigonal
Calculated formation energy in eV per atom: 0.325

=====

# 5
The following is a DFT calculation (PBE-GGA) of a geometry-optimized BeZnMo structure.

```
3
Lattice="2.7138 0.0000 0.0000 -1.3569 2.3502 0.0000 0.0000 0.0000 6.4000" Properties=species:S:1:pos:R:3 pbc="T T T"
Be 0.0000 0.0000 0.0000
Zn 0.0000 1.5668 4.3886
Mo 1.3569 0.7834 2.0321
```

Density in g cm⁻³: 6.930
Calculated total energy in eV/atom: -4.9895
ΔE to the lowest computed polymorph in kJ per mole of atoms: 15.5
Crystal system: trigonal
Calculated formation energy in eV per atom: 0.288

=====

# 6
The following is a DFT calculation (PBE-GGA) of a geometry-optimized TiMn2PdPb structure.

```
5
Lattice="4.7430 0.0000 0.0000 0.0000 4.7430 0.0000 0.0000 0.0000 5.0486" Properties=species:S:1:pos:R:3 pbc="T T T"
Ti 0.0000 0.0000 0.0000
Mn 0.0000 2.3715 2.5243
Mn 2.3715 0.0000 2.5243
Pd 2.3715 2.3715 0.0000
Pb 0.0000 0.0000 2.5243
```

Density in g cm⁻³: 6.892
Calculated total energy in eV/atom: -5.0046
Crystal system: tetragonal
Calculated formation energy in eV per atom: 2.022